Below is LaNdAsN after structural relaxation, with properties calculated at the PBE level.

Values from the calculation:
E_tot: -0.25610 hartree per atom
formation energy without anion corrections: -1.3012 eV/atom

a b c (Å): 4.635 4.635 9.056
angles (deg): 90.00 90.00 90.00
Fractional coordinates of all 8 atoms:
1 As 0.000 0.500 0.808
2 N 0.000 0.500 0.405
3 La 0.000 0.000 0.500
4 Nd 0.000 0.500 0.154
5 Nd 0.500 0.000 0.846
6 As 0.500 0.000 0.192
7 La 0.500 0.500 0.500
8 N 0.500 0.000 0.595